Here is a relaxed YSi3Sn crystal from the Alexandria database. Energies are from PBE-GGA.

```
YSi3Sn
1.0
-0.4812 5.2483 0.2524
-3.2288 -0.0954 -4.1720
-4.1453 -0.5349 3.2203
Y Si Sn
1 3 1
direct
0.0000 0.0000 0.0000 Y
0.0000 0.5000 0.0000 Si
0.0000 0.0000 0.5000 Si
0.5000 0.0000 0.0000 Si
0.5000 0.5000 0.5000 Sn
```

Output
**Total moment**: 0.0 μB/f.u.
**Distance to the lowest polymorph of the same formula**: 0.762 eV per formula unit
**Formation energy from raw total energies**: 997 meV/atom